First-principles (PBE) data for Ca2CuPOs after structural relaxation, as listed in the Alexandria database.

Cell lengths 5.392, 4.618, 5.392 Å; angles 90.00, 90.00, 90.00 degrees
Each line ends with the local moment (μB).
Positions (direct):
Os1 0.000 0.000 0.000  0.91
Cu1 0.000 0.500 0.000  0.20
Ca1 0.000 0.000 0.500  -0.01
Ca2 0.500 0.000 0.000  0.01
P1 0.500 0.500 0.500  0.29

Calculated values
Space-group type = P4/mmm, No. 123
Formation energy = 0.7101 eV/atom


First-principles (PBE) data for Rb2NaTbCl6 after structural relaxation, as listed in the Alexandria database.

Cell lengths 7.643, 7.643, 7.643 Å; angles 60.00, 60.00, 60.00 degrees
Positions (direct):
Cl1 0.245 0.755 0.755
Cl2 0.755 0.245 0.245
Cl3 0.245 0.755 0.245
Cl4 0.245 0.245 0.755
Cl5 0.755 0.245 0.755
Cl6 0.755 0.755 0.245
Na1 0.500 0.500 0.500
Rb1 0.750 0.750 0.750
Rb2 0.250 0.250 0.250
Tb1 0.000 0.000 0.000

Calculated values
Space-group type = Fm-3m, No. 225
Uncorrected formation energy = -2.098 eV/atom


First-principles (PBE) data for AcGaTe2 after structural relaxation, as listed in the Alexandria database.

Cell lengths 4.209, 5.422, 5.422 Å; angles 90.00, 90.00, 90.00 degrees
Positions (direct):
Ga1 0.500 0.500 0.500
Te1 0.000 0.000 0.500
Te2 0.000 0.500 0.000
Ac1 0.500 0.000 0.000

Calculated values
Space-group type = P4/mmm, No. 123
Uncorrected formation energy = -0.910 eV/atom